Record 1
The following is a PBE calculation of a geometry-optimized Dy3InHS structure, from Alexandria.

The value obtained for the total energy is -4.952 eV per atom. The calculation puts the density of states at the Fermi level at 6.08 states/eV per cell. The calculation puts the mass density at 7.7 g/cm³. As for the space group: P2_1/m (11).

a b c (Å): 8.221 3.967 8.614
angles (deg): 90.00 101.19 90.00
Fractional coordinates of all 12 atoms:
Dy 0.066 0.250 0.325
Dy 0.319 0.250 0.960
Dy 0.381 0.750 0.626
Dy 0.619 0.250 0.374
Dy 0.681 0.750 0.040
Dy 0.934 0.750 0.675
In 0.330 0.750 0.247
In 0.670 0.250 0.753
H 0.417 0.750 0.898
H 0.583 0.250 0.102
S 0.155 0.250 0.648
S 0.845 0.750 0.352

=====

Record 2
The following is a PBE calculation of a geometry-optimized Dy4TlInH structure, from Alexandria.

The value obtained for the total energy is -4.195 eV per atom. The calculation puts the density of states at the Fermi level at 10.03 states/eV per cell. The calculation puts the mass density at 9.1 g/cm³. As for the space group: Cmcm (63).

a b c (Å): 9.034 9.034 6.467
angles (deg): 90.00 90.00 138.06
Fractional coordinates of all 14 atoms:
Dy 0.000 0.500 0.000
Dy 0.000 0.500 0.500
Dy 0.071 0.929 0.750
Dy 0.427 0.573 0.750
Dy 0.500 0.000 0.000
Dy 0.500 0.000 0.500
Dy 0.573 0.427 0.250
Dy 0.929 0.071 0.250
Tl 0.114 0.886 0.250
Tl 0.886 0.114 0.750
In 0.386 0.614 0.250
In 0.614 0.386 0.750
H 0.290 0.710 0.750
H 0.710 0.290 0.250

=====

Record 3
The following is a PBE calculation of a geometry-optimized DyH6Ir structure, from Alexandria.

The value obtained for the total energy is -4.646 eV per atom. The calculation puts the density of states at the Fermi level at 0.00 states/eV per cell. The calculation puts the mass density at 9.1 g/cm³. As for the space group: R-3m (166).

a b c (Å): 4.629 4.629 4.629
angles (deg): 57.16 57.16 57.16
Fractional coordinates of all 8 atoms:
Dy 0.000 0.000 0.000
H 0.059 0.602 0.602
H 0.398 0.398 0.941
H 0.398 0.941 0.398
H 0.602 0.059 0.602
H 0.602 0.602 0.059
H 0.941 0.398 0.398
Ir 0.500 0.500 0.500

=====

Record 4
The following is a PBE calculation of a geometry-optimized Dy2H2Ir structure, from Alexandria.

The value obtained for the total energy is -5.567 eV per atom. The calculation puts the density of states at the Fermi level at 1.55 states/eV per cell. The calculation puts the mass density at 11.4 g/cm³. As for the space group: P4/mmm (123).

a b c (Å): 3.346 3.346 6.774
angles (deg): 90.00 90.00 90.00
Fractional coordinates of all 5 atoms:
Dy 0.000 0.000 0.239
Dy 0.000 0.000 0.761
H 0.000 0.500 0.000
H 0.500 0.000 0.000
Ir 0.500 0.500 0.500

=====

Record 5
The following is a PBE calculation of a geometry-optimized Dy4HIr2 structure, from Alexandria.

The value obtained for the total energy is -6.238 eV per atom. The calculation puts the density of states at the Fermi level at 5.06 states/eV per cell. The calculation puts the mass density at 11.5 g/cm³. As for the space group: I4/mmm (139).

a b c (Å): 7.929 7.929 7.929
angles (deg): 146.71 146.71 47.79
Fractional coordinates of all 7 atoms:
Dy 0.000 0.500 0.500
Dy 0.187 0.187 0.000
Dy 0.500 0.000 0.500
Dy 0.813 0.813 0.000
H 0.000 0.000 0.000
Ir 0.373 0.373 0.000
Ir 0.627 0.627 0.000

=====

Record 6
The following is a PBE calculation of a geometry-optimized LiDyH8Ir2 structure, from Alexandria.

The value obtained for the total energy is -4.570 eV per atom. The calculation puts the density of states at the Fermi level at 0.57 states/eV per cell. The calculation puts the mass density at 9.8 g/cm³. As for the space group: C2/m (12).

a b c (Å): 4.537 4.537 6.040
angles (deg): 111.52 111.52 57.12
Fractional coordinates of all 12 atoms:
Li 0.000 0.000 0.000
Dy 0.500 0.500 0.500
H 0.063 0.063 0.678
H 0.079 0.591 0.687
H 0.253 0.253 0.110
H 0.409 0.921 0.313
H 0.591 0.079 0.687
H 0.747 0.747 0.890
H 0.921 0.409 0.313
H 0.937 0.937 0.322
Ir 0.290 0.290 0.854
Ir 0.710 0.710 0.146

=====

Record 7
The following is a PBE calculation of a geometry-optimized DyMgH8Ir2 structure, from Alexandria.

The value obtained for the total energy is -4.434 eV per atom. The calculation puts the density of states at the Fermi level at 1.89 states/eV per cell. The calculation puts the mass density at 9.3 g/cm³. As for the space group: R-3m (166).

a b c (Å): 6.047 6.047 6.047
angles (deg): 45.61 45.61 45.61
Fractional coordinates of all 12 atoms:
Dy 0.000 0.000 0.000
Mg 0.500 0.500 0.500
H 0.108 0.555 0.555
H 0.319 0.319 0.319
H 0.445 0.445 0.892
H 0.445 0.892 0.445
H 0.555 0.108 0.555
H 0.555 0.555 0.108
H 0.681 0.681 0.681
H 0.892 0.445 0.445
Ir 0.219 0.219 0.219
Ir 0.781 0.781 0.781

=====

Record 8
The following is a PBE calculation of a geometry-optimized NdDyH8Ir2 structure, from Alexandria.

The value obtained for the total energy is -4.768 eV per atom. The calculation puts the density of states at the Fermi level at 1.97 states/eV per cell. The calculation puts the mass density at 9.3 g/cm³. As for the space group: R-3 (148).

a b c (Å): 6.736 6.736 6.736
angles (deg): 42.34 42.34 42.34
Fractional coordinates of all 12 atoms:
Nd 0.000 0.000 0.000
Dy 0.500 0.500 0.500
H 0.041 0.390 0.893
H 0.107 0.959 0.610
H 0.325 0.325 0.325
H 0.390 0.893 0.041
H 0.610 0.107 0.959
H 0.675 0.675 0.675
H 0.893 0.041 0.390
H 0.959 0.610 0.107
Ir 0.237 0.237 0.237
Ir 0.763 0.763 0.763

=====

Record 9
The following is a PBE calculation of a geometry-optimized DyNiH8Ir2 structure, from Alexandria.

The value obtained for the total energy is -4.735 eV per atom. The calculation puts the density of states at the Fermi level at 2.29 states/eV per cell. The calculation puts the mass density at 10.3 g/cm³. As for the space group: R-3 (148).

a b c (Å): 6.071 6.071 6.071
angles (deg): 44.31 44.31 44.31
Fractional coordinates of all 12 atoms:
Dy 0.000 0.000 0.000
Ni 0.500 0.500 0.500
H 0.153 0.741 0.421
H 0.259 0.579 0.847
H 0.318 0.318 0.318
H 0.421 0.153 0.741
H 0.579 0.847 0.259
H 0.682 0.682 0.682
H 0.741 0.421 0.153
H 0.847 0.259 0.579
Ir 0.219 0.219 0.219
Ir 0.781 0.781 0.781

=====

Record 10
The following is a PBE calculation of a geometry-optimized DyPHIr structure, from Alexandria.

The value obtained for the total energy is -6.450 eV per atom. The calculation puts the density of states at the Fermi level at 2.92 states/eV per cell. The calculation puts the mass density at 11.4 g/cm³. As for the space group: P4/nmm (129).

a b c (Å): 3.937 3.937 7.285
angles (deg): 90.00 90.00 90.00
Fractional coordinates of all 8 atoms:
Dy 0.250 0.250 0.160
Dy 0.750 0.750 0.840
P 0.250 0.250 0.694
P 0.750 0.750 0.306
H 0.250 0.750 0.000
H 0.750 0.250 0.000
Ir 0.250 0.750 0.500
Ir 0.750 0.250 0.500

=====

Record 11
The following is a PBE calculation of a geometry-optimized DyH8Ir2Pb structure, from Alexandria.

The value obtained for the total energy is -4.403 eV per atom. The calculation puts the density of states at the Fermi level at 3.42 states/eV per cell. The calculation puts the mass density at 9.9 g/cm³. As for the space group: R-3m (166).

a b c (Å): 8.554 8.554 8.554
angles (deg): 28.78 28.78 28.78
Fractional coordinates of all 12 atoms:
Dy 0.000 0.000 0.000
H 0.082 0.526 0.526
H 0.184 0.184 0.184
H 0.474 0.474 0.918
H 0.474 0.918 0.474
H 0.526 0.082 0.526
H 0.526 0.526 0.082
H 0.816 0.816 0.816
H 0.918 0.474 0.474
Ir 0.253 0.253 0.253
Ir 0.747 0.747 0.747
Pb 0.500 0.500 0.500

=====

Record 12
The following is a PBE calculation of a geometry-optimized DyH8IrPd2 structure, from Alexandria.

The value obtained for the total energy is -4.441 eV per atom. The calculation puts the density of states at the Fermi level at 0.39 states/eV per cell. The calculation puts the mass density at 9.0 g/cm³. As for the space group: P-1 (2).

a b c (Å): 4.427 4.466 5.974
angles (deg): 70.91 73.54 77.60
Fractional coordinates of all 12 atoms:
Dy 0.000 0.000 0.000
H 0.111 0.684 0.732
H 0.229 0.217 0.555
H 0.313 0.879 0.289
H 0.418 0.295 0.035
H 0.582 0.705 0.965
H 0.687 0.121 0.711
H 0.771 0.783 0.445
H 0.889 0.316 0.268
Ir 0.000 0.000 0.500
Pd 0.460 0.479 0.253
Pd 0.540 0.521 0.747

=====

Record 13
The following is a PBE calculation of a geometry-optimized DyH4IrPd2 structure, from Alexandria.

The value obtained for the total energy is -5.055 eV per atom. The calculation puts the density of states at the Fermi level at 1.32 states/eV per cell. The calculation puts the mass density at 11.5 g/cm³. As for the space group: P1 (1).

a b c (Å): 4.426 4.429 5.192
angles (deg): 113.71 113.89 92.97
Fractional coordinates of all 8 atoms:
Dy 0.000 0.000 0.000
H 0.106 0.545 0.094
H 0.405 0.423 0.572
H 0.453 0.012 0.908
H 0.857 0.842 0.425
Ir 0.255 0.754 0.500
Pd 0.499 0.498 0.000
Pd 0.752 0.256 0.501

=====

Record 14
The following is a PBE calculation of a geometry-optimized PrDyH8Ir2 structure, from Alexandria.

The value obtained for the total energy is -4.769 eV per atom. The calculation puts the density of states at the Fermi level at 1.94 states/eV per cell. The calculation puts the mass density at 9.1 g/cm³. As for the space group: R-3 (148).

a b c (Å): 6.773 6.773 6.773
angles (deg): 42.19 42.19 42.19
Fractional coordinates of all 12 atoms:
Pr 0.000 0.000 0.000
Dy 0.500 0.500 0.500
H 0.044 0.890 0.392
H 0.110 0.608 0.956
H 0.323 0.323 0.323
H 0.392 0.044 0.890
H 0.608 0.956 0.110
H 0.677 0.677 0.677
H 0.890 0.392 0.044
H 0.956 0.110 0.608
Ir 0.236 0.236 0.236
Ir 0.764 0.764 0.764

=====

Record 15
The following is a PBE calculation of a geometry-optimized DyH8IrPt2 structure, from Alexandria.

The value obtained for the total energy is -4.577 eV per atom. The calculation puts the density of states at the Fermi level at 0.57 states/eV per cell. The calculation puts the mass density at 10.6 g/cm³. As for the space group: P-1 (2).

a b c (Å): 4.451 4.569 6.023
angles (deg): 82.74 81.31 78.66
Fractional coordinates of all 12 atoms:
Dy 0.000 0.000 0.000
H 0.198 0.741 0.322
H 0.218 0.275 0.481
H 0.289 0.470 0.934
H 0.299 0.851 0.654
H 0.701 0.149 0.346
H 0.711 0.530 0.066
H 0.782 0.725 0.519
H 0.802 0.259 0.678
Ir 0.000 0.000 0.500
Pt 0.383 0.361 0.202
Pt 0.617 0.639 0.798

=====

Record 16
The following is a PBE calculation of a geometry-optimized DyH8Ir2Rh structure, from Alexandria.

The value obtained for the total energy is -4.844 eV per atom. The calculation puts the density of states at the Fermi level at 3.94 states/eV per cell. The calculation puts the mass density at 10.5 g/cm³. As for the space group: R-3 (148).

a b c (Å): 6.208 6.208 6.208
angles (deg): 43.85 43.85 43.85
Fractional coordinates of all 12 atoms:
Dy 0.000 0.000 0.000
H 0.143 0.406 0.763
H 0.237 0.857 0.594
H 0.321 0.321 0.321
H 0.406 0.763 0.143
H 0.594 0.237 0.857
H 0.679 0.679 0.679
H 0.763 0.143 0.406
H 0.857 0.594 0.237
Ir 0.225 0.225 0.225
Ir 0.775 0.775 0.775
Rh 0.500 0.500 0.500

=====

Record 17
The following is a PBE calculation of a geometry-optimized DySiHIr structure, from Alexandria.

The value obtained for the total energy is -6.473 eV per atom. The calculation puts the density of states at the Fermi level at 3.02 states/eV per cell. The calculation puts the mass density at 10.9 g/cm³. As for the space group: P4/nmm (129).

a b c (Å): 4.040 4.040 7.185
angles (deg): 90.00 90.00 90.00
Fractional coordinates of all 8 atoms:
Dy 0.250 0.250 0.154
Dy 0.750 0.750 0.846
Si 0.250 0.250 0.683
Si 0.750 0.750 0.317
H 0.250 0.750 0.000
H 0.750 0.250 0.000
Ir 0.250 0.750 0.500
Ir 0.750 0.250 0.500

=====

Record 18
The following is a PBE calculation of a geometry-optimized DyZnH6Ir2 structure, from Alexandria.

The value obtained for the total energy is -4.692 eV per atom. The calculation puts the density of states at the Fermi level at 1.89 states/eV per cell. The calculation puts the mass density at 11.3 g/cm³. As for the space group: R-3m (166).

a b c (Å): 5.833 5.833 5.833
angles (deg): 45.22 45.22 45.22
Fractional coordinates of all 10 atoms:
Dy 0.000 0.000 0.000
Zn 0.500 0.500 0.500
H 0.054 0.559 0.559
H 0.441 0.441 0.946
H 0.441 0.946 0.441
H 0.559 0.054 0.559
H 0.559 0.559 0.054
H 0.946 0.441 0.441
Ir 0.211 0.211 0.211
Ir 0.789 0.789 0.789

=====

Record 19
The following is a PBE calculation of a geometry-optimized K2DyMgH6 structure, from Alexandria.

The value obtained for the total energy is -3.067 eV per atom. The calculation puts the density of states at the Fermi level at 6.68 states/eV per cell. The calculation puts the mass density at 3.0 g/cm³. As for the space group: Pmmn (59).

a b c (Å): 5.934 8.408 5.933
angles (deg): 90.00 90.00 90.00
Fractional coordinates of all 20 atoms:
K 0.250 0.000 0.250
K 0.250 0.500 0.250
K 0.750 0.000 0.750
K 0.750 0.500 0.750
Dy 0.250 0.250 0.749
Dy 0.750 0.750 0.251
Mg 0.250 0.750 0.751
Mg 0.750 0.250 0.249
H 0.012 0.750 0.513
H 0.012 0.750 0.989
H 0.250 0.512 0.751
H 0.250 0.988 0.751
H 0.488 0.750 0.513
H 0.488 0.750 0.989
H 0.512 0.250 0.011
H 0.512 0.250 0.487
H 0.750 0.012 0.249
H 0.750 0.488 0.249
H 0.988 0.250 0.011
H 0.988 0.250 0.487

=====

Record 20
The following is a PBE calculation of a geometry-optimized La2DyH8 structure, from Alexandria.

The value obtained for the total energy is -4.368 eV per atom. The calculation puts the density of states at the Fermi level at 1.30 states/eV per cell. The calculation puts the mass density at 6.2 g/cm³. As for the space group: Immm (71).

a b c (Å): 6.688 6.688 6.688
angles (deg): 146.23 133.33 58.84
Fractional coordinates of all 11 atoms:
La 0.169 0.169 0.000
La 0.831 0.831 0.000
Dy 0.500 0.500 0.000
H 0.098 0.348 0.750
H 0.257 0.000 0.257
H 0.327 0.827 0.500
H 0.401 0.652 0.750
H 0.599 0.348 0.250
H 0.673 0.173 0.500
H 0.743 0.000 0.743
H 0.902 0.652 0.250